ScCo2SnC, optimized geometry, DFT PBEsol; energy of formation = 11.2 eV per formula unit; symmetry = P4/mmm (123)
1.0
-3.745 2.399 -0.821
-1.123 -2.882 -3.300
-2.676 -2.976 3.509
Sc C Co Sn
1 1 2 1
direct
0.000 0.000 0.500
0.500 0.500 0.500
0.000 0.500 0.000
0.500 0.000 0.000
0.000 0.000 0.000


TiF4, optimized geometry, DFT PBEsol; symmetry = P-1 (2); offset from the most stable computed form = 0.11 eV/f.u.; formation energy from raw total energies = -3330 meV/atom
1.0
-4.806 -0.100 0.976
-0.444 -5.147 -2.829
2.877 -0.741 4.690
Ti F
2 8
direct
0.005 0.527 0.010
0.498 0.174 0.992
0.107 0.192 0.794
0.396 0.509 0.208
0.952 0.787 0.246
0.893 0.311 0.201
0.610 0.390 0.801
0.551 0.914 0.757
0.056 0.643 0.773
0.447 0.058 0.229


Ba2ZrRe, optimized geometry, DFT PBEsol; energy of formation = 2.6 eV per formula unit; symmetry = Imm2 (44); offset from the most stable computed form = 0.00 eV/f.u.
1.0
-3.263 -0.361 1.686
-0.824 -5.197 -2.709
4.585 0.110 4.859
Ba Re Zr
2 1 1
direct
0.989 0.989 0.977
0.793 0.293 0.585
0.535 0.535 0.071
0.183 0.683 0.367


The evaluated spin magnetization for the records listed, in turn: 3.266 0.029 0.000 Bohr magnetons per cell.